Entry 1:
Material: MgFeOs2
Method: DFT, PBE
State: relaxed

a = 2.7121 Å, b = 2.7121 Å, c = 7.6946 Å
α = 90.00°, β = 90.00°, γ = 90.00°
Closest atoms and distances in Å follow each position.
Sites, in units of the cell vectors:
Fe  0.5000  0.5000  0.2500  8 Os 2.57, 4 Fe 2.71
Mg  0.5000  0.5000  0.7500  4 Mg 2.71, 8 Os 2.87
Os  0.0000  0.0000  0.0277  4 Fe 2.57, 4 Os 2.71, 4 Mg 2.87
Os  0.0000  0.0000  0.4723  4 Fe 2.57, 4 Os 2.71, 4 Mg 2.87

Output
Its total energy is -31.6 eV per cell. The energy relative to the elements is 0.2371 eV/atom. As for the density: 13514 kg/m3. As for the space-group type: P4/mmm, No. 123.

=====

Entry 2:
Material: MgFe2Os
Method: DFT, PBE
State: relaxed

a = 4.2404 Å, b = 4.2404 Å, c = 4.2404 Å
α = 60.00°, β = 60.00°, γ = 60.00°
Closest atoms and distances in Å follow each position.
Sites, in units of the cell vectors:
Fe  0.0000  0.0000  0.0000  4 Fe 2.60, 4 Os 2.60
Fe  0.2500  0.2500  0.2500  4 Mg 2.60, 4 Fe 2.60
Mg  0.5000  0.5000  0.5000  4 Os 2.60, 4 Fe 2.60
Os  0.7500  0.7500  0.7500  4 Fe 2.60, 4 Mg 2.60

Output
Its total energy is -28.4 eV per cell. The energy relative to the elements is 0.3303 eV/atom. As for the density: 10047 kg/m3. As for the space-group type: F-43m, No. 216.

=====

Entry 3:
Material: MgFe2Os
Method: DFT, PBE
State: relaxed

a = 4.2505 Å, b = 2.6055 Å, c = 5.0087 Å
α = 80.53°, β = 90.00°, γ = 90.00°
Closest atoms and distances in Å follow each position.
Sites, in units of the cell vectors:
Fe  0.0000  0.0269  0.9985  4 Fe 2.54-2.61, 2 Os 2.55, 2 Mg 2.63
Fe  0.5000  0.2056  0.2446  4 Fe 2.54-2.61, 3 Os 2.61-2.80, 2 Mg 2.62
Mg  0.0000  0.4862  0.4898  2 Mg 2.61, 5 Fe 2.62-2.91, 2 Os 2.72
Os  0.5000  0.7813  0.7670  5 Fe 2.55-2.80, 2 Os 2.61, 2 Mg 2.72

Output
Its total energy is -28.9 eV per cell. The energy relative to the elements is 0.2186 eV/atom. As for the density: 9901 kg/m3. As for the space-group type: Pm, No. 6.

=====

Entry 4:
Material: MgFeOs2
Method: DFT, PBE
State: relaxed

a = 8.9545 Å, b = 8.9545 Å, c = 8.9545 Å
α = 17.60°, β = 17.60°, γ = 17.60°
Closest atoms and distances in Å follow each position.
Sites, in units of the cell vectors:
Fe  0.2500  0.2500  0.2500  6 Os 2.60, 6 Fe 2.74
Mg  0.7500  0.7500  0.7500  6 Mg 2.74, 6 Os 2.83
Os  0.9946  0.9946  0.9946  3 Fe 2.60, 6 Os 2.74, 3 Mg 2.83
Os  0.5054  0.5054  0.5054  3 Fe 2.60, 6 Os 2.74, 3 Mg 2.83

Output
Its total energy is -31.7 eV per cell. The energy relative to the elements is 0.2058 eV/atom. As for the density: 13344 kg/m3. As for the space-group type: R-3m, No. 166.

=====

Entry 5:
Material: MgFeOs2
Method: DFT, PBE
State: relaxed

a = 4.3224 Å, b = 2.7105 Å, c = 4.9872 Å
α = 80.57°, β = 90.00°, γ = 90.00°
Closest atoms and distances in Å follow each position.
Sites, in units of the cell vectors:
Fe  0.5000  0.2500  0.2500  4 Os 2.56, 2 Mg 2.64, 2 Fe 2.71
Mg  0.5000  0.7500  0.7500  2 Fe 2.64, 2 Mg 2.71, 4 Os 2.73
Os  0.0000  0.0611  0.0116  2 Fe 2.56, 5 Os 2.64-2.74, 2 Mg 2.73
Os  0.0000  0.4389  0.4884  2 Fe 2.56, 5 Os 2.64-2.74, 2 Mg 2.73

Output
Its total energy is -31.4 eV per cell. The energy relative to the elements is 0.2752 eV/atom. As for the density: 13270 kg/m3. As for the space-group type: P2/m, No. 10.

=====

Entry 6:
Material: MgFe2Os
Method: DFT, PBE
State: relaxed

a = 4.6759 Å, b = 4.6759 Å, c = 2.6435 Å
α = 90.00°, β = 90.00°, γ = 110.42°
Closest atoms and distances in Å follow each position.
Sites, in units of the cell vectors:
Fe  0.0000  0.0000  0.0000  4 Fe 2.64-2.67, 4 Mg 2.69, 4 Os 2.69
Fe  0.5000  0.5000  0.0000  4 Fe 2.64-2.67, 4 Os 2.69, 4 Mg 2.69
Mg  0.5000  0.0000  0.5000  2 Mg 2.64, 2 Os 2.67, 8 Fe 2.69
Os  0.0000  0.5000  0.5000  2 Os 2.64, 2 Mg 2.67, 8 Fe 2.69

Output
Its total energy is -28.9 eV per cell. The energy relative to the elements is 0.2182 eV/atom. As for the density: 10001 kg/m3. As for the space-group type: Cmmm, No. 65.

=====

Entry 7:
Material: MgFe2Os
Method: DFT, PBE
State: relaxed

a = 2.7253 Å, b = 2.7253 Å, c = 7.4234 Å
α = 90.00°, β = 90.00°, γ = 90.00°
Closest atoms and distances in Å follow each position.
Sites, in units of the cell vectors:
Fe  0.0000  0.0000  0.9971  4 Os 2.50, 8 Fe 2.54-2.73
Fe  0.5000  0.5000  0.2197  8 Fe 2.54-2.73, 4 Mg 2.83
Mg  0.0000  0.0000  0.4995  4 Mg 2.73, 4 Fe 2.83, 4 Os 2.86
Os  0.5000  0.5000  0.7836  4 Fe 2.50, 4 Os 2.73

Output
Its total energy is -29.0 eV per cell. The energy relative to the elements is 0.1968 eV/atom. As for the density: 9825 kg/m3. As for the space-group type: P4mm, No. 99.

=====

Entry 8:
Material: MgFeOs2
Method: DFT, PBE
State: relaxed

a = 4.4100 Å, b = 2.7347 Å, c = 5.4335 Å
α = 59.79°, β = 90.00°, γ = 90.00°
Closest atoms and distances in Å follow each position.
Sites, in units of the cell vectors:
Fe  0.0000  0.2099  0.5400  6 Os 2.69-2.74, 4 Mg 2.70, 2 Fe 2.73
Mg  0.5000  0.5482  0.7020  6 Os 2.68-2.76, 4 Fe 2.70, 2 Mg 2.73
Os  0.0000  0.2037  0.0462  4 Fe 2.69-2.74, 6 Os 2.71-2.73, 2 Mg 2.73
Os  0.5000  0.5382  0.2118  4 Mg 2.68-2.76, 2 Fe 2.69, 6 Os 2.71-2.73

Output
Its total energy is -31.6 eV per cell. The energy relative to the elements is 0.2303 eV/atom. As for the density: 13507 kg/m3. As for the space-group type: Pmm2, No. 25.

=====

Entry 9:
Material: MgFeOs2
Method: DFT, PBE
State: relaxed

a = 7.2310 Å, b = 7.2310 Å, c = 5.6557 Å
α = 50.26°, β = 50.26°, γ = 90.00°
Closest atoms and distances in Å follow each position.
Sites, in units of the cell vectors:
Mg  0.5000  0.5000  0.0000  2 Fe 2.42
Mg  0.2500  0.7500  0.5000  2 Fe 2.42
Os  0.6904  0.1250  0.2500  2 Fe 2.33, 2 Os 2.60
Os  0.0596  0.6250  0.2500  2 Fe 2.33, 2 Os 2.60
Os  0.3750  0.3096  0.7500  2 Fe 2.33, 2 Os 2.60
Os  0.8750  0.9404  0.7500  2 Fe 2.33, 2 Os 2.60
Fe  0.0000  0.0000  0.0000  4 Os 2.33, 2 Mg 2.42
Fe  0.7500  0.2500  0.5000  4 Os 2.33, 2 Mg 2.42

Output
Its total energy is -59.5 eV per cell. The energy relative to the elements is 0.6953 eV/atom. As for the density: 12103 kg/m3. As for the space-group type: I-42d, No. 122.

=====

Entry 10:
Material: MgFe2Os
Method: DFT, PBE
State: relaxed

a = 4.1550 Å, b = 2.6137 Å, c = 5.2438 Å
α = 76.18°, β = 90.00°, γ = 90.00°
Closest atoms and distances in Å follow each position.
Sites, in units of the cell vectors:
Fe  0.0000  0.0065  0.9794  3 Fe 2.44-2.61, 2 Os 2.57, 2 Mg 2.68
Fe  0.0000  0.4935  0.5206  3 Fe 2.44-2.61, 2 Os 2.57, 2 Mg 2.68
Mg  0.5000  0.2500  0.2500  2 Mg 2.61, 2 Os 2.64, 4 Fe 2.68
Os  0.5000  0.7500  0.7500  4 Fe 2.57, 2 Os 2.61, 2 Mg 2.64

Output
Its total energy is -28.7 eV per cell. The energy relative to the elements is 0.2555 eV/atom. As for the density: 9796 kg/m3. As for the space-group type: P2/m, No. 10.

=====

Entry 11:
Material: MgFeReOs
Method: DFT, PBE
State: relaxed

a = 4.2902 Å, b = 4.2902 Å, c = 4.2902 Å
α = 60.00°, β = 60.00°, γ = 60.00°
Closest atoms and distances in Å follow each position.
Sites, in units of the cell vectors:
Re  0.7500  0.7500  0.7500  4 Fe 2.63, 4 Os 2.63
Mg  0.2500  0.2500  0.2500  4 Fe 2.63, 4 Os 2.63
Os  0.5000  0.5000  0.5000  4 Re 2.63, 4 Mg 2.63
Fe  0.0000  0.0000  0.0000  4 Re 2.63, 4 Mg 2.63

Output
Its total energy is -33.0 eV per cell. The energy relative to the elements is 0.1943 eV/atom. As for the density: 13579 kg/m3. As for the space-group type: F-43m, No. 216.

=====

Entry 12:
Material: MgFeOsRu
Method: DFT, PBE
State: relaxed

a = 4.3065 Å, b = 4.3065 Å, c = 4.3065 Å
α = 60.00°, β = 60.00°, γ = 60.00°
Closest atoms and distances in Å follow each position.
Sites, in units of the cell vectors:
Ru  0.7500  0.7500  0.7500  4 Mg 2.64, 4 Os 2.64
Mg  0.0000  0.0000  0.0000  4 Ru 2.64, 4 Fe 2.64
Os  0.5000  0.5000  0.5000  4 Fe 2.64, 4 Ru 2.64
Fe  0.2500  0.2500  0.2500  4 Mg 2.64, 4 Os 2.64

Output
Its total energy is -29.7 eV per cell. The energy relative to the elements is 0.2270 eV/atom. As for the density: 10922 kg/m3. As for the space-group type: F-43m, No. 216.

=====

- Among the records above, which one has the highest total energy?
  number 2